(1)
A plane-wave DFT calculation with GGA-PBEsol was carried out for La2FeRu after structural relaxation.

## Properties
E = -7.2415 eV per atom
Volume = 85 Å³/cell
Crystal system = tetragonal

a b c (Å): 3.455 4.969 4.969
angles (deg): 90.00 90.00 90.00
Site moments in Bohr magnetons follow the coordinates.
Element x y z (fractional)
Fe  0.500  0.000  0.000  -2.20
La  0.000  0.000  0.500  0.13
La  0.000  0.500  0.000  0.13
Ru  0.500  0.500  0.500  -0.18


(2)
A plane-wave DFT calculation with GGA-PBEsol was carried out for CoTe4Rh after structural relaxation.

## Properties
Volume = 151 Å³/cell
Crystal system = cubic
ΔE_f (raw) = 1356 meV per atom

a b c (Å): 5.980 5.980 5.980
angles (deg): 60.00 60.00 60.00
Site moments in Bohr magnetons follow the coordinates.
Element x y z (fractional)
Co  0.750  0.750  0.750  2.05
Te  0.375  0.375  0.375  0.04
Te  0.375  0.375  0.876  0.04
Te  0.876  0.375  0.375  0.04
Te  0.375  0.876  0.375  0.04
Rh  0.000  0.000  0.000  0.56